Entry 1:
# MoP2OF | Alexandria via LeMat-Bulk | GGA+U | relaxed
data_MoP2OF
_chemical_formula_sum 'Mo1 P2 O1 F1'
_cell_length_a 4.765
_cell_length_b 4.765
_cell_length_c 3.828
_cell_angle_alpha 90.00
_cell_angle_beta 90.00
_cell_angle_gamma 90.00
_space_group_name_H-M_alt 'P 4/m m m'
_space_group_IT_number 123
_space_group_name_Hall '-P 4 2'
loop_
_atom_site_label
_atom_site_type_symbol
_atom_site_fract_x
_atom_site_fract_y
_atom_site_fract_z
Mo1 Mo 0.000 0.000 0.000
P1 P 0.000 0.500 0.000
O1 O 0.000 0.000 0.500
F1 F 0.500 0.500 0.500
# Density of states at the Fermi level in states/eV per cell: 1.4
# ΔE to the lowest computed polymorph in eV per formula unit: 0.00


Entry 2:
# MoPbO2F | Alexandria via LeMat-Bulk | GGA+U | relaxed
data_MoPbO2F
_chemical_formula_sum 'Mo1 Pb1 O2 F1'
_cell_length_a 4.326
_cell_length_b 4.326
_cell_length_c 4.475
_cell_angle_alpha 90.00
_cell_angle_beta 90.00
_cell_angle_gamma 90.00
_space_group_name_H-M_alt 'P 4/m m m'
_space_group_IT_number 123
_space_group_name_Hall '-P 4 2'
loop_
_atom_site_label
_atom_site_type_symbol
_atom_site_fract_x
_atom_site_fract_y
_atom_site_fract_z
Mo1 Mo 0.000 0.000 0.000
Pb1 Pb 0.500 0.500 0.500
O1 O 0.000 0.500 0.500
F1 F 0.500 0.500 0.000
# Total energy in eV for the cell shown: -25.1
# Density of states at the Fermi level in states/eV per cell: 3.1